1.
CdCoMo2W PBE relaxed; formation energy = 1.57 eV per atom; energy above the lowest structure with this stoichiometry = 378 meV/atom; DFT total energy = -34.80 eV/f.u.; space-group type = No. 123; crystal system = tetragonal
1.0
-2.948 -1.846 -3.266
3.334 -2.688 -1.490
-1.330 -3.370 3.105
W Co Mo Cd
1 1 2 1
Direct
0.000 0.000 0.000 W
0.000 0.500 0.000 Co
0.500 0.000 0.000 Mo
0.000 0.000 0.500 Mo
0.500 0.500 0.500 Cd

2.
Hf3VRh PBE relaxed; formation energy = 0.73 eV per atom; energy above the lowest structure with this stoichiometry = 168 meV/atom; DFT total energy = -42.68 eV/f.u.; space-group type = No. 221; crystal system = cubic
1.0
4.743 0.000 0.000
0.000 4.743 0.000
0.000 0.000 4.743
Hf V Rh
3 1 1
Direct
0.000 0.500 0.000 Hf
0.500 0.000 0.000 Hf
0.000 0.000 0.500 Hf
0.000 0.000 0.000 V
0.500 0.500 0.500 Rh

3.
Li2PuAg3 PBE relaxed; formation energy = -0.13 eV per atom; DFT total energy = -27.50 eV/f.u.; space-group type = No. 123; crystal system = tetragonal
1.0
3.204 0.000 0.000
0.000 3.204 0.000
0.000 0.000 10.710
Li Pu Ag
2 1 3
Direct
0.500 0.500 0.855 Li
0.500 0.500 0.145 Li
0.500 0.500 0.500 Pu
0.000 0.000 0.286 Ag
0.000 0.000 0.000 Ag
0.000 0.000 0.714 Ag

4.
TiRhC2F PBE relaxed; DFT total energy = -31.85 eV/f.u.; space-group type = No. 123; E_form (uncorrected) = 0.7434 eV per atom; crystal system = tetragonal
1.0
4.073 0.000 0.000
0.000 3.725 0.000
0.000 0.000 4.073
F Ti C Rh
1 1 2 1
Direct
0.000 0.500 0.000 F
0.000 0.000 0.000 Ti
0.000 0.000 0.500 C
0.500 0.000 0.000 C
0.500 0.500 0.500 Rh

5.
TbEuEr2 PBE relaxed; formation energy = 0.16 eV per atom; energy above the lowest structure with this stoichiometry = 100 meV/atom; DFT total energy = -23.37 eV/f.u.; space-group type = No. 225; crystal system = cubic
1.0
-4.776 -2.645 1.672
0.317 -4.969 2.795
-1.335 -0.246 5.546
Er Tb Eu
2 1 1
Direct
0.250 0.250 0.250 Er
0.750 0.750 0.750 Er
0.000 0.000 0.000 Tb
0.500 0.500 0.500 Eu

6.
Cs2PrGeTe4 PBE relaxed; DFT total energy = -30.04 eV/f.u.; space-group type = No. 74; E_form (uncorrected) = -0.7965 eV per atom; crystal system = orthorhombic
1.0
-7.548 1.489 6.052
5.655 -2.466 7.599
2.729 7.005 -5.380
Te Cs Pr Ge
8 4 2 2
Direct
0.768 0.732 0.560 Te
0.191 0.738 0.965 Te
0.238 0.691 0.465 Te
0.768 0.732 0.940 Te
0.232 0.268 0.440 Te
0.762 0.309 0.535 Te
0.232 0.268 0.060 Te
0.809 0.262 0.035 Te
0.500 0.000 0.000 Cs
0.000 0.000 0.500 Cs
0.500 0.500 0.000 Cs
0.500 0.000 0.500 Cs
0.000 0.500 0.000 Pr
0.000 0.500 0.500 Pr
0.000 0.000 0.000 Ge
0.500 0.500 0.500 Ge

7.
BaAgPb2 PBE relaxed; formation energy = -0.16 eV per atom; energy above the lowest structure with this stoichiometry = 170 meV/atom; DFT total energy = -12.84 eV/f.u.; space-group type = No. 99; crystal system = tetragonal
1.0
4.010 0.000 0.000
0.000 4.010 0.000
0.000 0.000 7.929
Ag Pb Ba
1 2 1
Direct
0.000 0.000 0.454 Ag
0.000 0.000 0.041 Pb
0.500 0.500 0.272 Pb
0.500 0.500 0.734 Ba

8.
PmZnCd2 PBE relaxed; formation energy = -0.22 eV per atom; energy above the lowest structure with this stoichiometry = 75 meV/atom; DFT total energy = -8.72 eV/f.u.; space-group type = No. 123; crystal system = tetragonal
1.0
4.852 0.000 0.000
0.000 4.442 0.000
0.000 0.000 4.442
Zn Cd Pm
1 2 1
Direct
0.500 0.500 0.500 Zn
0.000 0.500 0.000 Cd
0.000 0.000 0.500 Cd
0.500 0.000 0.000 Pm

9.
K3PbO4 PBE relaxed; DFT total energy = -34.68 eV/f.u.; space-group type = No. 44; E_form (uncorrected) = -0.9809 eV per atom; crystal system = orthorhombic
1.0
6.718 -1.193 -0.804
-4.346 5.260 0.804
-3.251 -0.829 5.995
K Pb O
3 1 4
Direct
0.921 0.000 0.921 K
0.612 0.715 0.327 K
0.612 0.285 0.897 K
0.025 0.500 0.525 Pb
0.217 0.650 0.867 O
0.217 0.350 0.567 O
0.053 0.779 0.274 O
0.495 0.221 0.274 O

10.
EuGdZnGa PBE relaxed; formation energy = -0.40 eV per atom; DFT total energy = -30.26 eV/f.u.; space-group type = No. 216; crystal system = cubic
1.0
5.203 0.000 0.000
2.602 4.506 0.000
2.602 1.502 4.248
Gd Zn Ga Eu
1 1 1 1
Direct
0.500 0.500 0.500 Gd
0.750 0.750 0.750 Zn
0.250 0.250 0.250 Ga
0.000 0.000 0.000 Eu

11.
Pm2Sm2Ho4Tm PBE relaxed; formation energy = 0.00 eV per atom; DFT total energy = -41.69 eV/f.u.; space-group type = No. 12; crystal system = monoclinic
1.0
3.603 0.000 0.000
-1.801 9.336 -0.482
0.000 -3.710 8.834
Tm Sm Ho Pm
1 2 4 2
Direct
0.000 0.000 0.000 Tm
0.853 0.705 0.337 Sm
0.147 0.295 0.663 Sm
0.815 0.631 0.665 Ho
0.185 0.369 0.335 Ho
0.519 0.038 0.332 Ho
0.481 0.962 0.668 Ho
0.665 0.330 0.001 Pm
0.335 0.670 0.999 Pm

12.
Dy2Al4ZnPd3 PBE relaxed; formation energy = -0.75 eV per atom; DFT total energy = -48.50 eV/f.u.; space-group type = No. 115; crystal system = tetragonal
1.0
-0.173 -1.606 -3.842
3.919 -1.363 0.393
-3.632 -9.274 4.039
Al Pd Dy Zn
4 3 2 1
Direct
0.500 0.500 0.000 Al
0.500 0.000 0.635 Al
0.000 0.000 0.000 Al
0.000 0.500 0.365 Al
0.000 0.000 0.500 Pd
0.000 0.500 0.135 Pd
0.500 0.000 0.865 Pd
0.000 0.500 0.752 Dy
0.500 0.000 0.248 Dy
0.500 0.500 0.500 Zn

Q: What is the formula in the ninth record?
A: K3PbO4

Q: The highest DFT total energy belongs to which entry?
A: PmZnCd2

Q: Which value of DFT total energy does entry 10 give?
A: -30.26 eV/f.u.

Q: Which of these has the highest DFT total energy?
A: PmZnCd2